A relaxed structure of PaBiWO6, computed with PBE with a Hubbard U.

a b c (Å): 5.6541 5.6541 9.9046
angles (deg): 90.00 90.00 120.00
With the nearest neighbours (Å) after each atom.
Space group P-31c (No. 163)
Unique sites:
Pa 0.3333 0.6667 0.2500 x2  6 O 2.20
Bi 0.0000 0.0000 0.0000 x2  6 O 2.42
W 0.3333 0.6667 0.7500 x2  6 O 2.09
O 0.0141 0.3608 0.6371 x12  1 W 2.09, 1 Pa 2.20

Values from the calculation:
VASP energy = -7.934 eV per atom
magnetic moment = 2.000 μB per formula unit